DFT (PBE) results for an optimized crystal structure of La2Tl5Pd3.

a = 4.6443 Å, b = 7.7257 Å, c = 13.9167 Å
α = 90.00°, β = 99.61°, γ = 90.00°
Element x y z (fractional)
Tl (0.7055, 0.3939, 0.4110)
Tl (0.7075, 0.9872, 0.4150)
Tl (0.5967, 0.9049, 0.1935)
Tl (0.2945, 0.8939, 0.5890)
Tl (0.9476, 0.1245, 0.8953)
La (0.5257, 0.2910, 0.0514)
Tl (0.1246, 0.2519, 0.2492)
Tl (0.0524, 0.6245, 0.1047)
Tl (0.8754, 0.7519, 0.7508)
La (0.8232, 0.1916, 0.6465)
Pd (0.2293, 0.1878, 0.4586)
Pd (0.3910, 0.0260, 0.7819)
Pd (0.7707, 0.6878, 0.5414)
La (0.4743, 0.7910, 0.9486)
Pd (0.6090, 0.5260, 0.2181)
Pd (0.9560, 0.5062, 0.9119)
Tl (0.2925, 0.4872, 0.5850)
Tl (0.4033, 0.4049, 0.8065)
La (0.1768, 0.6916, 0.3535)
Pd (0.0440, 0.0062, 0.0881)

Summary:
- space group = Cmc2_1, No. 36
- N(E_F) (states/eV per atom) = 0.5913
- energy relative to the elements (eV/atom) = -0.452

DFT (PBE) results for an optimized crystal structure of CoRu4Br.

a = 5.1514 Å, b = 5.1514 Å, c = 5.1514 Å
α = 60.00°, β = 60.00°, γ = 60.00°
Site moments in Bohr magnetons follow the coordinates.
Element x y z (fractional)
Ru (0.3749, 0.3749, 0.3749)  0.81
Ru (0.8754, 0.3749, 0.3749)  0.81
Ru (0.3749, 0.3749, 0.8754)  0.81
Co (0.0000, 0.0000, 0.0000)  1.97
Br (0.7500, 0.7500, 0.7500)  0.02
Ru (0.3749, 0.8754, 0.3749)  0.81

Summary:
- space group = F-43m, No. 216
- N(E_F) (states/eV per atom) = 1.4749
- E_tot (eV/atom) = -6.50

DFT (PBE) results for an optimized crystal structure of ZrSc2Tc.

a = 5.7362 Å, b = 5.7362 Å, c = 4.9669 Å
α = 64.34°, β = 64.34°, γ = 34.71°
Element x y z (fractional)
Zr (0.2081, 0.2081, 0.2920)
Sc (0.9977, 0.9977, 0.0022)
Tc (0.5054, 0.5054, 0.4943)
Sc (0.7888, 0.7888, 0.7114)

Summary:
- space group = Imm2, No. 44
- N(E_F) (states/eV per atom) = 1.0958
- energy relative to the elements (eV/atom) = -0.174

One value per record, in order, for M_tot: 0.0 5.2 0.0 μB per cell.